Entry from the Alexandria database: crystalline BaTl2Au9 at its relaxed geometry (PBE).

a b c (Å): 9.845 9.845 9.845
angles (deg): 34.34 34.34 34.34
Sites, in units of the cell vectors:
Ba 0.000 0.000 0.000
Tl 0.146 0.146 0.146
Tl 0.854 0.854 0.854
Au 0.082 0.585 0.585
Au 0.333 0.333 0.333
Au 0.415 0.415 0.918
Au 0.415 0.918 0.415
Au 0.500 0.500 0.500
Au 0.585 0.082 0.585
Au 0.585 0.585 0.082
Au 0.667 0.667 0.667
Au 0.918 0.415 0.415

Results
Energy of formation: -5.14 kcal/mol of atoms
Crystal system: trigonal

Entry from the Alexandria database: crystalline KSr2Br at its relaxed geometry (PBE).

a b c (Å): 7.699 7.699 4.265
angles (deg): 105.59 105.59 115.76
Sites, in units of the cell vectors:
K 0.000 0.000 0.000
Sr 0.000 0.500 0.500
Sr 0.500 0.000 0.500
Br 0.500 0.500 0.000

Results
Crystal system: monoclinic
Formation energy (no corrections): -0.445 eV per atom

Entry from the Alexandria database: crystalline OsBr2 at its relaxed geometry (PBE).

a b c (Å): 5.445 5.445 5.445
angles (deg): 107.42 107.42 113.65
Sites, in units of the cell vectors:
Os 0.250 0.250 0.000
Os 0.750 0.750 0.000
Br 0.201 0.701 0.901
Br 0.299 0.201 0.500
Br 0.701 0.799 0.500
Br 0.799 0.299 0.099

Results
Energy above the most stable polymorph in this dataset: 1.93 eV/f.u.
Crystal system: tetragonal
Formation energy (no corrections): 0.931 eV per atom

no.,spin magnetization (μB per formula unit)
1,0.000
2,0.000
3,0.000